This record from the Alexandria database describes a relaxed structure of Li2CaTe. The functional is PBE-GGA.

Results
Crystal system: monoclinic
Total magnetization (μB/atom): 0.00
Uncorrected formation energy (eV per formula unit): -2.0

Lattice parameters (Å, degrees): 6.1683 11.9894 4.3629 90.00 134.84 90.00
Space group C2/m (No. 12)
Inequivalent atoms, fractional coordinates:
Li1 0.2500 0.2500 0.0000 x4
Ca1 0.0000 0.0000 0.5000 x2
Te1 0.0000 0.5000 0.5000 x2

=====

This record from the Alexandria database describes a relaxed structure of Mn2BeTc. The functional is PBE-GGA.

Results
Crystal system: trigonal
Total magnetization (μB/atom): 0.30

Lattice parameters (Å, degrees): 2.5906 2.5906 23.8330 90.00 90.00 120.00
Space group R-3m (No. 166, hexagonal axes)
Inequivalent atoms, fractional coordinates:
Mn1 0.0000 0.0000 0.2445 x6
Be1 0.0000 0.0000 0.5000 x3
Tc1 0.0000 0.0000 0.0000 x3

=====

This record from the Alexandria database describes a relaxed structure of Sr2ZrRu. The functional is PBE-GGA.

Results
Crystal system: monoclinic
Offset from the most stable computed form (meV per atom): 664
Total magnetization (μB/atom): 0.00

Lattice parameters (Å, degrees): 3.5378 5.1540 5.9331 90.00 100.77 90.00
Space group P2/m (No. 10)
Inequivalent atoms, fractional coordinates:
Sr1 0.1067 0.0000 0.2695 x2
Zr1 0.5000 0.5000 0.0000 x1
Ru1 0.5000 0.5000 0.5000 x1

=====

This record from the Alexandria database describes a relaxed structure of YPu2Th3Se6. The functional is PBE-GGA.

Results
Crystal system: monoclinic
Total magnetization (μB/atom): 0.94
Uncorrected formation energy (eV per formula unit): -19.0

Lattice parameters (Å, degrees): 7.0974 12.2934 7.3837 90.00 108.69 90.00
Space group C2/m (No. 12)
Inequivalent atoms, fractional coordinates:
Y1 0.0000 0.0000 0.0000 x2
Pu1 0.0000 0.3332 0.0000 x4
Th1 0.0000 0.1666 0.5000 x4
Th2 0.0000 0.5000 0.5000 x2
Se1 0.2454 0.1658 0.2385 x8
Se2 0.2479 0.5000 0.2383 x4

=====

This record from the Alexandria database describes a relaxed structure of KY2NiP. The functional is PBE-GGA.

Results
Crystal system: tetragonal
Total magnetization (μB/atom): 0.00

Lattice parameters (Å, degrees): 5.1665 5.1665 5.2264 90.00 90.00 90.00
Space group P4/mmm (No. 123)
Inequivalent atoms, fractional coordinates:
K1 0.0000 0.0000 0.0000 x1
Y1 0.0000 0.5000 0.5000 x2
Ni1 0.0000 0.0000 0.5000 x1
P1 0.5000 0.5000 0.0000 x1

=====

This record from the Alexandria database describes a relaxed structure of Ba2PrThS6. The functional is PBE-GGA.

Results
Crystal system: monoclinic
Total magnetization (μB/atom): 0.04
Uncorrected formation energy (eV per formula unit): -18.5

Lattice parameters (Å, degrees): 7.4137 7.7936 12.8736 90.00 124.46 90.00
Space group P2_1/c (No. 14)
Inequivalent atoms, fractional coordinates:
Ba1 0.2231 0.0689 0.2481 x4
Pr1 0.0000 0.0000 0.5000 x2
Th1 0.5000 0.0000 0.0000 x2
S1 0.1473 0.1995 0.9442 x4
S2 0.2434 0.7085 0.9401 x4
S3 0.3634 0.0381 0.7528 x4

=====

This record from the Alexandria database describes a relaxed structure of SmOF. The functional is PBE-GGA.

Results
Crystal system: trigonal
Total magnetization (μB/atom): 0.00
Uncorrected formation energy (eV per formula unit): -11.5

Lattice parameters (Å, degrees): 3.9259 3.9259 19.6073 90.00 90.00 120.00
Space group R-3m (No. 166, hexagonal axes)
Inequivalent atoms, fractional coordinates:
Sm1 0.0000 0.0000 0.2413 x6
O1 0.0000 0.0000 0.1220 x6
F1 0.0000 0.0000 0.3702 x6

=====

This record from the Alexandria database describes a relaxed structure of NbReHRh2. The functional is PBE-GGA.

Results
Crystal system: tetragonal
Offset from the most stable computed form (meV per atom): 23
Total magnetization (μB/atom): 0.00

Lattice parameters (Å, degrees): 3.8911 3.8911 4.1449 90.00 90.00 90.00
Space group P4/mmm (No. 123)
Inequivalent atoms, fractional coordinates:
Nb1 0.0000 0.0000 0.0000 x1
Re1 0.5000 0.5000 0.0000 x1
H1 0.0000 0.0000 0.5000 x1
Rh1 0.0000 0.5000 0.5000 x2

=====

no.,E (eV/atom)
1,-2.73
2,-7.92
3,-4.58
4,-8.11
5,-4.84
6,-5.93
7,-7.68
8,-8.32